1.
Compound: Li7Ag2Sn
Source: Alexandria via LeMat-Bulk
Functional: PBE
Structure: relaxed

Properties
Its calculated total energy is -2.3192 eV per atom.

abc: 7.7262 7.7262 4.3540
angles: 90.00 90.00 121.32
Last column: nearest neighbours and their distance in Å.
Sites, in units of the cell vectors:
Li: 0.0000 0.0000 0.0000  2 Ag 2.65, 4 Li 2.86
Li: 0.2079 0.4329 0.0000  2 Ag 2.68-2.90, 4 Li 2.72-2.89, 2 Sn 2.98
Li: 0.2895 0.7105 0.5000  2 Ag 2.51
Li: 0.4329 0.2079 0.0000  2 Ag 2.68-2.90, 4 Li 2.72-2.89, 2 Sn 2.98
Li: 0.5671 0.7921 0.0000  2 Ag 2.68-2.90, 4 Li 2.72-2.89, 2 Sn 2.98
Li: 0.7105 0.2895 0.5000  2 Ag 2.51
Li: 0.7921 0.5671 0.0000  2 Ag 2.68-2.90, 4 Li 2.72-2.89, 2 Sn 2.98
Ag: 0.1971 0.8029 0.0000  5 Li 2.51-2.68
Ag: 0.8029 0.1971 0.0000  5 Li 2.51-2.68
Sn: 0.5000 0.5000 0.5000  10 Li 2.84-2.98

2.
Compound: LiAgSn
Source: Alexandria via LeMat-Bulk
Functional: PBE
Structure: relaxed

Properties
Its calculated total energy is -3.1551 eV per atom.

abc: 4.4965 4.4538 6.2690
angles: 90.00 110.37 90.00
Last column: nearest neighbours and their distance in Å.
Sites, in units of the cell vectors:
Li: 0.0935 0.2500 0.1833  4 Ag 2.82-3.02, 4 Sn 3.07-3.16, 2 Li 3.10
Li: 0.9065 0.7500 0.8167  4 Ag 2.82-3.02, 4 Sn 3.07-3.16, 2 Li 3.10
Ag: 0.2382 0.7500 0.4777  4 Li 2.82-3.02, 4 Sn 2.84-3.00
Ag: 0.7618 0.2500 0.5223  4 Li 2.82-3.02, 4 Sn 2.84-3.00
Sn: 0.4048 0.2500 0.8187  4 Ag 2.84-3.00, 6 Li 3.07-3.17, 2 Sn 3.08
Sn: 0.5952 0.7500 0.1813  4 Ag 2.84-3.00, 6 Li 3.07-3.17, 2 Sn 3.08

3.
Compound: Li5Ag4Sn2
Source: Alexandria via LeMat-Bulk
Functional: PBE
Structure: relaxed

Properties
Its calculated total energy is -2.7700 eV per atom.

abc: 6.7269 6.7269 8.1778
angles: 126.94 126.94 47.43
Last column: nearest neighbours and their distance in Å.
Sites, in units of the cell vectors:
Li: 0.0000 0.0000 0.0000  4 Ag 2.63-2.65
Li: 0.2510 0.7474 0.3208  4 Li 2.69-2.96, 4 Ag 2.75-2.90
Li: 0.2526 0.7490 0.6792  4 Li 2.69-2.96, 4 Ag 2.75-2.90
Li: 0.7474 0.2510 0.3208  4 Li 2.69-2.96, 4 Ag 2.75-2.90
Li: 0.7490 0.2526 0.6792  4 Li 2.69-2.96, 4 Ag 2.75-2.90
Ag: 0.2407 0.2407 0.0687  5 Li 2.63-2.89, 1 Sn 2.80, 1 Ag 2.80
Ag: 0.2413 0.2413 0.4114  5 Li 2.65-2.90, 1 Ag 2.80, 1 Sn 2.80
Ag: 0.7587 0.7587 0.5886  5 Li 2.65-2.90, 1 Ag 2.80, 1 Sn 2.80
Ag: 0.7593 0.7593 0.9313  5 Li 2.63-2.89, 1 Sn 2.80, 1 Ag 2.80
Sn: 0.3243 0.3243 0.8229  6 Ag 2.80-3.11
Sn: 0.6757 0.6757 0.1771  6 Ag 2.80-3.11